--- 1 ---
Entry from the Alexandria database: a geometry-optimized Na2HBr structure (PBE).

Computed properties:
Fermi-level density of states = 0.000 states/eV/atom
SG = Pnma, No. 62

abc: 4.025 6.611 12.475
angles: 90.00 90.00 90.00
Sites, in units of the cell vectors:
Br (0.250, 0.900, 0.135)
H (0.750, 0.915, 0.391)
H (0.250, 0.585, 0.891)
Na (0.250, 0.851, 0.751)
H (0.750, 0.415, 0.109)
Na (0.750, 0.191, 0.526)
Na (0.750, 0.691, 0.974)
H (0.250, 0.085, 0.609)
Na (0.250, 0.809, 0.474)
Na (0.750, 0.149, 0.249)
Br (0.250, 0.400, 0.365)
Na (0.250, 0.309, 0.026)
Br (0.750, 0.100, 0.865)
Br (0.750, 0.600, 0.635)
Na (0.750, 0.649, 0.251)
Na (0.250, 0.351, 0.749)

***

--- 2 ---
Entry from the Alexandria database: a geometry-optimized Na2HBr structure (PBE).

Computed properties:
Fermi-level density of states = 0.000 states/eV/atom
SG = R3m, No. 160

abc: 3.859 3.859 7.000
angles: 74.00 74.00 60.00
Sites, in units of the cell vectors:
H (0.669, 0.669, 0.993)
Br (0.498, 0.498, 0.505)
Na (0.262, 0.262, 0.213)
Na (0.070, 0.070, 0.789)

***

--- 3 ---
Entry from the Alexandria database: a geometry-optimized Na2HBr structure (PBE).

Computed properties:
Fermi-level density of states = 0.000 states/eV/atom
SG = R-3m, No. 166

abc: 3.913 3.913 6.779
angles: 73.23 73.23 60.00
Sites, in units of the cell vectors:
Na (0.263, 0.263, 0.211)
H (0.000, 0.000, 0.000)
Br (0.500, 0.500, 0.500)
Na (0.737, 0.737, 0.789)

***

Name the least stable of them. 2.

***

--- 1 ---
Entry from the Alexandria database: a geometry-optimized NaH2Br2 structure (PBE).

Computed properties:
Fermi-level density of states = 0.157 states/eV/atom
SG = Immm, No. 71

abc: 6.540 5.732 5.067
angles: 116.25 90.00 124.79
Sites, in units of the cell vectors:
Br (0.813, 0.626, 0.313)
H (0.448, 0.897, 0.948)
H (0.552, 0.103, 0.052)
Na (0.000, 0.000, 0.000)
Br (0.187, 0.374, 0.687)

***

--- 2 ---
Entry from the Alexandria database: a geometry-optimized NaH2Br2 structure (PBE).

Computed properties:
Fermi-level density of states = 0.434 states/eV/atom
SG = C2/m, No. 12

abc: 3.919 4.889 8.043
angles: 64.31 75.90 66.37
Each line ends with the local moment (μB).
Sites, in units of the cell vectors:
Na (0.000, 0.000, 0.000)  0.00
Br (0.270, 0.279, 0.180)  0.38
H (0.458, 0.562, 0.522)  0.00
H (0.542, 0.438, 0.478)  0.00
Br (0.730, 0.721, 0.820)  0.38

***

Name the least stable of them. 2.

***

--- 1 ---
Entry from the Alexandria database: a geometry-optimized NaHBr structure (PBE).

Computed properties:
Fermi-level density of states = 0.000 states/eV/atom
SG = P1, No. 1

abc: 5.295 5.087 5.979
angles: 89.76 89.36 57.69
Sites, in units of the cell vectors:
H (0.394, 0.446, 0.195)
Na (0.752, 0.722, 0.403)
Na (0.088, 0.033, 0.907)
H (0.445, 0.310, 0.117)
Br (0.748, 0.722, 0.899)
Br (0.092, 0.034, 0.411)

***

--- 2 ---
Entry from the Alexandria database: a geometry-optimized NaHBr structure (PBE).

Computed properties:
Fermi-level density of states = 0.000 states/eV/atom
SG = P-1, No. 2

abc: 4.164 7.155 5.792
angles: 128.24 111.00 90.00
Sites, in units of the cell vectors:
H (0.952, 0.377, 0.023)
Na (0.406, 0.599, 0.930)
H (0.859, 0.283, 0.835)
Br (0.688, 0.612, 0.495)
Br (0.123, 0.046, 0.364)
Na (0.404, 0.059, 0.929)

***

Name the least stable of them. 2.